Material: Rb3Pr3GaS8
Method: DFT, GGA-PBE
State: relaxed

```
Rb3Pr3GaS8
1.0
-3.778 7.135 -1.744
-0.582 -6.368 -5.232
-4.784 -0.623 7.816
Rb Pr S Ga
3 3 8 1
Direct
0.500 0.500 0.000
0.000 0.500 0.000
0.000 0.000 0.000
0.000 0.500 0.500
0.500 0.000 0.500
0.500 0.500 0.500
0.789 0.030 0.318
0.210 0.420 0.681
0.790 0.580 0.319
0.241 0.030 0.318
0.733 0.467 0.700
0.759 0.970 0.682
0.211 0.970 0.682
0.267 0.533 0.300
0.000 0.000 0.500
```

Calculated values
V: 464 Å³/cell
Density: 3.6 Mg/m³
Formation energy from raw total energies: -1.41 eV per atom